[1]
Density functional theory data (GGA-PBE) for a geometry-optimized K2MnBr structure.

Summary:
As for the total magnetic moment: 4.2 Bohr magnetons per cell. As for the density of states at the Fermi level: 1.627 states/eV/f.u. The value obtained for the distance to the lowest polymorph of the same formula is 0.60 eV per formula unit. As for the space-group type: No. 119.

```
K2MnBr
1.0
-2.4164 -7.0957 -1.3592
0.7625 -3.9377 -6.4768
3.8053 4.2928 5.0128
Br K Mn
1 2 1
Direct
0.7500 0.2500 0.5000
0.0000 0.0000 0.0000
0.2500 0.7500 0.5000
0.5000 0.5000 0.0000
```



[2]
Density functional theory data (GGA-PBE) for a geometry-optimized K4MnBr6 structure.

Summary:
As for the total magnetic moment: 10.0 Bohr magnetons per cell. As for the density of states at the Fermi level: 0.000 states/eV/f.u. The value obtained for the distance to the lowest polymorph of the same formula is 0.00 eV per formula unit. As for the space-group type: No. 167.

```
K4MnBr6
1.0
9.0825 0.0061 0.0061
0.0333 9.0824 0.0061
0.0333 0.0332 9.0823
K Mn Br
8 2 12
Direct
0.2500 0.2500 0.2500
0.7500 0.7500 0.7500
0.8705 0.6295 0.2500
0.6295 0.2500 0.8705
0.2500 0.8705 0.6295
0.1295 0.3705 0.7500
0.3705 0.7500 0.1295
0.7500 0.1295 0.3705
0.0000 0.0000 0.0000
0.5000 0.5000 0.5000
0.9446 0.2881 0.0663
0.2881 0.0663 0.9446
0.0663 0.9446 0.2881
0.2119 0.5554 0.4337
0.5554 0.4337 0.2119
0.4337 0.2119 0.5554
0.0554 0.7119 0.9337
0.7119 0.9337 0.0554
0.9337 0.0554 0.7119
0.7881 0.4446 0.5663
0.4446 0.5663 0.7881
0.5663 0.7881 0.4446
```



[3]
Density functional theory data (GGA-PBE) for a geometry-optimized K3MnBr structure.

Summary:
As for the total magnetic moment: 4.8 Bohr magnetons per cell. As for the density of states at the Fermi level: 7.193 states/eV/f.u. The value obtained for the distance to the lowest polymorph of the same formula is 0.00 eV per formula unit. As for the space-group type: No. 221.

```
K3MnBr
1.0
6.3271 0.0000 0.0000
0.0000 6.3271 0.0000
0.0000 0.0000 6.3271
K Mn Br
3 1 1
Direct
0.0000 0.5000 0.0000
0.0000 0.0000 0.5000
0.5000 0.0000 0.0000
0.5000 0.5000 0.5000
0.0000 0.0000 0.0000
```



[4]
Density functional theory data (GGA-PBE) for a geometry-optimized KMn2Br structure.

Summary:
As for the total magnetic moment: 8.1 Bohr magnetons per cell. As for the density of states at the Fermi level: 2.787 states/eV/f.u. The value obtained for the distance to the lowest polymorph of the same formula is 0.13 eV per formula unit. As for the space-group type: No. 99.

```
KMn2Br
1.0
3.4657 0.4841 0.0000
-0.4881 3.4652 0.0000
0.0000 0.0000 7.9544
Br K Mn
1 1 2
Direct
0.0000 0.0000 0.4580
0.5000 0.5000 0.7359
0.0000 0.0000 0.0783
0.5000 0.5000 0.2279
```



[5]
Density functional theory data (GGA-PBE) for a geometry-optimized K3MnBr6 structure.

Summary:
As for the total magnetic moment: 8.0 Bohr magnetons per cell. As for the density of states at the Fermi level: 1.274 states/eV/f.u. The value obtained for the distance to the lowest polymorph of the same formula is 0.00 eV per formula unit. As for the space-group type: No. 14.

```
K3MnBr6
1.0
-3.2336 -5.3224 4.2738
5.5447 -5.6218 -2.8060
6.7604 2.5523 8.2454
K Mn Br
6 2 12
Direct
0.4630 0.0896 0.7419
0.5000 0.5000 0.0000
0.5370 0.9104 0.2581
0.9630 0.4104 0.2419
0.0000 0.0000 0.5000
0.0370 0.5896 0.7581
0.5000 0.5000 0.5000
0.0000 0.0000 0.0000
0.2716 0.8473 0.9508
0.3331 0.7867 0.5686
0.3867 0.5364 0.2888
0.6133 0.4636 0.7112
0.6669 0.2133 0.4314
0.7284 0.1527 0.0492
0.7716 0.6527 0.4508
0.8331 0.7133 0.0686
0.8867 0.9636 0.7888
0.1133 0.0364 0.2112
0.1669 0.2867 0.9314
0.2284 0.3473 0.5492
```



[6]
Density functional theory data (GGA-PBE) for a geometry-optimized KMnBr3 structure.

Summary:
As for the total magnetic moment: 5.0 Bohr magnetons per cell. The value obtained for the distance to the lowest polymorph of the same formula is 0.24 eV per formula unit. As for the space-group type: No. 221.

```
KMnBr3
1.0
5.3639 0.0000 0.0000
0.0000 5.3639 0.0000
0.0000 0.0000 5.3639
K Mn Br
1 1 3
Direct
0.5000 0.5000 0.5000
0.0000 0.0000 0.0000
0.0000 0.5000 0.0000
0.0000 0.0000 0.5000
0.5000 0.0000 0.0000
```



[7]
Density functional theory data (GGA-PBE) for a geometry-optimized KMnBr6 structure.

Summary:
As for the total magnetic moment: 2.1 Bohr magnetons per cell. As for the density of states at the Fermi level: 2.035 states/eV/f.u. As for the space-group type: No. 2.

```
KMnBr6
1.0
-0.3443 -2.9131 -5.4994
-1.1999 -7.5163 0.0616
-6.3200 -1.1046 -0.3864
K Mn Br
1 1 6
Direct
0.5000 0.5000 0.5000
0.0000 0.0000 0.0000
0.0281 0.3118 0.7508
0.8484 0.9523 0.7051
0.5817 0.2149 0.1007
0.1516 0.0477 0.2949
0.9719 0.6882 0.2492
0.4183 0.7851 0.8993
```



[8]
Density functional theory data (GGA-PBE) for a geometry-optimized K3Mn2Br8 structure.

Summary:
As for the total magnetic moment: 9.0 Bohr magnetons per cell. As for the density of states at the Fermi level: 8.938 states/eV/f.u. As for the space-group type: No. 166.

```
K3Mn2Br8
1.0
7.5595 0.0000 0.0000
3.7797 6.5467 0.0000
3.7797 2.1822 9.4042
K Mn Br
3 2 8
Direct
0.0000 0.0000 0.0000
0.7958 0.7958 0.6127
0.2042 0.2042 0.3873
0.5954 0.5954 0.2137
0.4046 0.4046 0.7863
0.6814 0.6814 0.9558
0.3186 0.3186 0.0442
0.2180 0.7374 0.3072
0.7374 0.2180 0.3072
0.7374 0.7374 0.3072
0.2626 0.7820 0.6928
0.7820 0.2626 0.6928
0.2626 0.2626 0.6928
```



[9]
Density functional theory data (GGA-PBE) for a geometry-optimized KMnBr structure.

Summary:
As for the total magnetic moment: 4.9 Bohr magnetons per cell. As for the density of states at the Fermi level: 1.781 states/eV/f.u. The value obtained for the distance to the lowest polymorph of the same formula is 0.04 eV per formula unit. As for the space-group type: No. 107.

```
KMnBr
1.0
-4.6202 -4.2355 -3.6402
-3.5097 -6.2529 1.0585
2.0497 6.5510 2.3282
Br K Mn
1 1 1
Direct
0.0061 0.0061 0.0000
0.3499 0.3499 0.0000
0.6440 0.6440 0.0000
```



[10]
Density functional theory data (GGA-PBE) for a geometry-optimized KMnBr structure.

Summary:
As for the total magnetic moment: 5.0 Bohr magnetons per cell. As for the density of states at the Fermi level: 1.604 states/eV/f.u. The value obtained for the distance to the lowest polymorph of the same formula is 0.00 eV per formula unit. As for the space-group type: No. 156.

```
KMnBr
1.0
3.9959 0.0000 0.0000
-1.9980 3.4606 0.0000
0.0000 0.0000 7.0947
Br K Mn
1 1 1
Direct
0.0000 0.0000 0.9764
0.6667 0.3333 0.3076
0.3333 0.6667 0.7160
```



[11]
Density functional theory data (GGA-PBE) for a geometry-optimized K2Mn3Br8 structure.

Summary:
As for the total magnetic moment: 15.0 Bohr magnetons per cell. As for the density of states at the Fermi level: 0.000 states/eV/f.u. As for the space-group type: No. 12.

```
K2Mn3Br8
1.0
-4.7301 1.8716 -4.7715
3.6509 -4.6883 -5.4582
-4.5652 -4.1107 6.4410
K Mn Br
2 3 8
Direct
0.6683 0.7367 0.4733
0.3317 0.2633 0.5267
0.5000 0.0000 0.0000
0.0000 0.2603 0.0000
0.0000 0.7397 0.0000
0.0476 0.3933 0.7866
0.9524 0.6067 0.2134
0.1014 0.9014 0.8028
0.8986 0.0986 0.1972
0.3895 0.8650 0.1938
0.3895 0.3288 0.1938
0.6105 0.6712 0.8062
0.6105 0.1350 0.8062
```



[12]
Density functional theory data (GGA-PBE) for a geometry-optimized K2MnBr structure.

Summary:
As for the total magnetic moment: 4.6 Bohr magnetons per cell. As for the density of states at the Fermi level: 4.118 states/eV/f.u. The value obtained for the distance to the lowest polymorph of the same formula is 0.36 eV per formula unit. As for the space-group type: No. 99.

```
K2MnBr
1.0
-0.5368 -3.4118 -2.3732
3.9494 0.3264 -1.3625
3.2432 -6.0425 7.9536
Br K Mn
1 2 1
Direct
0.5000 0.5000 0.9469
0.0000 0.0000 0.8289
0.5000 0.5000 0.2526
0.0000 0.0000 0.4716
```



VASP energy for the records above, in order: -3.302; -3.632; -2.891; -5.042; -3.546; -4.180; -3.248; -3.860; -3.993; -4.006; -4.390; -3.362 eV per atom
Formation energy without anion corrections for the records above, in order: -43; -1487; -64; 235; -1296; -1122; -710; -1167; -13; -26; -1076; -103 meV/atom
Theoretical density for the records above, in order: 2.2; 3.1; 1.7; 3.9; 3.1; 3.6; 3.7; 3.1; 3.1; 2.9; 3.4; 1.9 g cm⁻³